# GGA+U FeBr2F, optimized geometry
# electronic total energy: -58.44 eV per cell
data_FeBr2F
_chemical_formula_sum 'Fe4 Br8 F4'
_cell_length_a 9.7960
_cell_length_b 9.7960
_cell_length_c 3.9289
_cell_angle_alpha 90.00
_cell_angle_beta 90.00
_cell_angle_gamma 90.00
_space_group_name_H-M_alt 'I -4 2 d'
_space_group_IT_number 122
_space_group_name_Hall 'I -4 2bw'
loop_
_atom_site_label
_atom_site_type_symbol
_atom_site_fract_x
_atom_site_fract_y
_atom_site_fract_z
Fe1 Fe 0.0000 0.0000 0.0000
Br1 Br 0.1146 0.2500 0.1250
F1 F 0.0000 0.0000 0.5000